{"formula": "Ac2CoAg3O6", "functional": "PBE with a Hubbard U", "state": "relaxed", "energy_ev_per_fu": -69.92, "volume_a3_per_atom": 18.1, "space_group": "C2/m, No. 12", "total_magnetization_mub_per_atom": 0.16, "dos_ef_per_ev_atom": 0.00, "cell": [[6.268, -0.110, 0.941], [-3.227, 5.375, 0.941], [-0.140, -0.242, 6.435]], "species": ["Ac", "Ac", "Co", "Ag", "Ag", "Ag", "O", "O", "O", "O", "O", "O"], "frac_coords": [[0.333, 0.667, 0.000], [0.667, 0.333, 0.000], [0.000, 0.000, 0.000], [0.131, 0.869, 0.500], [0.869, 0.131, 0.500], [0.500, 0.500, 0.500], [0.040, 0.772, 0.835], [0.638, 0.638, 0.176], [0.960, 0.228, 0.165], [0.772, 0.040, 0.835], [0.362, 0.362, 0.824], [0.228, 0.960, 0.165]]}